Entry 1:
Below is GaMoPd after structural relaxation, with properties calculated at the PBE-GGA level.

The calculation puts the raw total energy at -5.9155 eV/atom.

The structure belongs to space group F-43m (No. 216); the cell edges are 6.0461, 6.0461 and 6.0461 Å and the angles 90.00°, 90.00° and 90.00°. The inequivalent atoms are Ga at (0.0000, 0.0000, 0.0000), Mo at (0.2500, 0.2500, 0.2500) and Pd at (0.0000, 0.0000, 0.5000).

Entry 2:
Below is PmGaMo after structural relaxation, with properties calculated at the PBE-GGA level.

The calculation puts the raw total energy at -5.0939 eV/atom.

The structure belongs to space group F-43m (No. 216); the cell edges are 6.8707, 6.8707 and 6.8707 Å and the angles 90.00°, 90.00° and 90.00°. The inequivalent atoms are Pm at (0.0000, 0.0000, 0.0000), Ga at (0.2500, 0.2500, 0.7500) and Mo at (0.2500, 0.2500, 0.2500).

Entry 3:
Below is PmGaMo after structural relaxation, with properties calculated at the PBE-GGA level.

The calculation puts the raw total energy at -5.8088 eV/atom.

The structure belongs to space group F-43m (No. 216); the cell edges are 6.5323, 6.5323 and 6.5323 Å and the angles 90.00°, 90.00° and 90.00°. The inequivalent atoms are Pm at (0.0000, 0.0000, 0.0000), Ga at (0.2500, 0.2500, 0.7500) and Mo at (0.0000, 0.0000, 0.5000).

Entry 4:
Below is GaMo2Pt after structural relaxation, with properties calculated at the PBE-GGA level.

The calculation puts the raw total energy at -7.6940 eV/atom.

The structure belongs to space group F-43m (No. 216); the cell edges are 6.2899, 6.2899 and 6.2899 Å and the angles 90.00°, 90.00° and 90.00°. The inequivalent atoms are Ga at (0.0000, 0.0000, 0.0000), Mo at (0.0000, 0.0000, 0.5000), Mo at (0.2500, 0.2500, 0.7500) and Pt at (0.2500, 0.2500, 0.2500).

Entry 5:
Below is Ga2MoPt after structural relaxation, with properties calculated at the PBE-GGA level.

The calculation puts the raw total energy at -5.6672 eV/atom.

The structure belongs to space group F-43m (No. 216); the cell edges are 6.3312, 6.3312 and 6.3312 Å and the angles 90.00°, 90.00° and 90.00°. The inequivalent atoms are Ga at (0.0000, 0.0000, 0.0000), Ga at (0.2500, 0.2500, 0.2500), Mo at (0.0000, 0.0000, 0.5000) and Pt at (0.2500, 0.2500, 0.7500).

Entry 6:
Below is RbGaMo after structural relaxation, with properties calculated at the PBE-GGA level.

The calculation puts the raw total energy at -3.4102 eV/atom.

The structure belongs to space group F-43m (No. 216); the cell edges are 7.1859, 7.1859 and 7.1859 Å and the angles 90.00°, 90.00° and 90.00°. The inequivalent atoms are Rb at (0.0000, 0.0000, 0.0000), Ga at (0.2500, 0.2500, 0.7500) and Mo at (0.0000, 0.0000, 0.5000).

Entry 7:
Below is RbGaMo after structural relaxation, with properties calculated at the PBE-GGA level.

The calculation puts the raw total energy at -2.9144 eV/atom.

The structure belongs to space group F-43m (No. 216); the cell edges are 7.7408, 7.7408 and 7.7408 Å and the angles 90.00°, 90.00° and 90.00°. The inequivalent atoms are Rb at (0.0000, 0.0000, 0.0000), Ga at (0.2500, 0.2500, 0.7500) and Mo at (0.2500, 0.2500, 0.2500).

Entry 8:
Below is GaRe2Mo after structural relaxation, with properties calculated at the PBE-GGA level.

The calculation puts the raw total energy at -9.5037 eV/atom.

The structure belongs to space group F-43m (No. 216); the cell edges are 6.2146, 6.2146 and 6.2146 Å and the angles 90.00°, 90.00° and 90.00°. The inequivalent atoms are Ga at (0.0000, 0.0000, 0.0000), Re at (0.0000, 0.0000, 0.5000), Re at (0.2500, 0.2500, 0.7500) and Mo at (0.2500, 0.2500, 0.2500).

Entry 9:
Below is GaReMo2 after structural relaxation, with properties calculated at the PBE-GGA level.

The calculation puts the raw total energy at -9.1623 eV/atom.

The structure belongs to space group F-43m (No. 216); the cell edges are 6.2526, 6.2526 and 6.2526 Å and the angles 90.00°, 90.00° and 90.00°. The inequivalent atoms are Ga at (0.0000, 0.0000, 0.0000), Re at (0.2500, 0.2500, 0.2500), Mo at (0.0000, 0.0000, 0.5000) and Mo at (0.2500, 0.2500, 0.7500).

Entry 10:
Below is Ga2SbMo after structural relaxation, with properties calculated at the PBE-GGA level.

The calculation puts the raw total energy at -4.7744 eV/atom.

The structure belongs to space group F-43m (No. 216); the cell edges are 6.6790, 6.6790 and 6.6790 Å and the angles 90.00°, 90.00° and 90.00°. The inequivalent atoms are Ga at (0.0000, 0.0000, 0.0000), Ga at (0.2500, 0.2500, 0.2500), Sb at (0.2500, 0.2500, 0.7500) and Mo at (0.0000, 0.0000, 0.5000).

Entry 11:
Below is GaSb2Mo after structural relaxation, with properties calculated at the PBE-GGA level.

The calculation puts the raw total energy at -4.9088 eV/atom.

The structure belongs to space group F-43m (No. 216); the cell edges are 6.9366, 6.9366 and 6.9366 Å and the angles 90.00°, 90.00° and 90.00°. The inequivalent atoms are Ga at (0.0000, 0.0000, 0.0000), Sb at (0.0000, 0.0000, 0.5000), Sb at (0.2500, 0.2500, 0.7500) and Mo at (0.2500, 0.2500, 0.2500).

Entry 12:
Below is ScGaMo2 after structural relaxation, with properties calculated at the PBE-GGA level.

The calculation puts the raw total energy at -7.9372 eV/atom.

The structure belongs to space group F-43m (No. 216); the cell edges are 6.4130, 6.4130 and 6.4130 Å and the angles 90.00°, 90.00° and 90.00°. The inequivalent atoms are Sc at (0.0000, 0.0000, 0.0000), Ga at (0.2500, 0.2500, 0.7500), Mo at (0.0000, 0.0000, 0.5000) and Mo at (0.2500, 0.2500, 0.2500).

Entry 13:
Below is ScGa2Mo after structural relaxation, with properties calculated at the PBE-GGA level.

The calculation puts the raw total energy at -5.6819 eV/atom.

The structure belongs to space group F-43m (No. 216); the cell edges are 6.4592, 6.4592 and 6.4592 Å and the angles 90.00°, 90.00° and 90.00°. The inequivalent atoms are Sc at (0.0000, 0.0000, 0.0000), Ga at (0.0000, 0.0000, 0.5000), Ga at (0.2500, 0.2500, 0.2500) and Mo at (0.2500, 0.2500, 0.7500).

Entry 14:
Below is GaMo2Se2 after structural relaxation, with properties calculated at the PBE-GGA level.

The calculation puts the raw total energy at -6.3657 eV/atom.

The structure belongs to space group C2/m (No. 12); the cell edges are 8.6406, 3.2654 and 6.2553 Å and the angles 90.00°, 99.72° and 90.00°. The inequivalent atoms are Ga at (0.0000, 0.0000, 0.0000), Mo at (0.2007, 0.5000, 0.8151) and Se at (0.1250, 0.5000, 0.3613).

Entry 15:
Below is GaSiMo6 after structural relaxation, with properties calculated at the PBE-GGA level.

The calculation puts the raw total energy at -9.4254 eV/atom.

The structure belongs to space group Pm-3 (No. 200); the cell edges are 4.9434, 4.9434 and 4.9434 Å and the angles 90.00°, 90.00° and 90.00°. The inequivalent atoms are Ga at (0.0000, 0.0000, 0.0000), Si at (0.5000, 0.5000, 0.5000) and Mo at (0.0000, 0.2520, 0.5000).

Entry 16:
Below is GaSnMo after structural relaxation, with properties calculated at the PBE-GGA level.

The calculation puts the raw total energy at -5.4679 eV/atom.

The structure belongs to space group F-43m (No. 216); the cell edges are 6.3663, 6.3663 and 6.3663 Å and the angles 90.00°, 90.00° and 90.00°. The inequivalent atoms are Ga at (0.0000, 0.0000, 0.0000), Sn at (0.0000, 0.0000, 0.5000) and Mo at (0.2500, 0.2500, 0.2500).

Entry 17:
Below is TaGaMo after structural relaxation, with properties calculated at the PBE-GGA level.

The calculation puts the raw total energy at -7.9513 eV/atom.

The structure belongs to space group F-43m (No. 216); the cell edges are 6.1768, 6.1768 and 6.1768 Å and the angles 90.00°, 90.00° and 90.00°. The inequivalent atoms are Ta at (0.0000, 0.0000, 0.0000), Ga at (0.0000, 0.0000, 0.5000) and Mo at (0.2500, 0.2500, 0.7500).

Entry 18:
Below is TaGa2Mo2 after structural relaxation, with properties calculated at the PBE-GGA level.

The calculation puts the raw total energy at -7.6957 eV/atom.

The structure belongs to space group I4/mmm (No. 139); the cell edges are 3.7541, 3.7541 and 11.6451 Å and the angles 90.00°, 90.00° and 90.00°. The inequivalent atoms are Ta at (0.0000, 0.0000, 0.0000), Ga at (0.0000, 0.0000, 0.4032) and Mo at (0.0000, 0.5000, 0.2500).

Entry 19:
Below is TaGa2Mo after structural relaxation, with properties calculated at the PBE-GGA level.

The calculation puts the raw total energy at -7.0259 eV/atom.

The structure belongs to space group F-43m (No. 216); the cell edges are 6.3549, 6.3549 and 6.3549 Å and the angles 90.00°, 90.00° and 90.00°. The inequivalent atoms are Ta at (0.0000, 0.0000, 0.0000), Ga at (0.0000, 0.0000, 0.5000), Ga at (0.2500, 0.2500, 0.2500) and Mo at (0.2500, 0.2500, 0.7500).

Entry 20:
Below is Ga2TcMo after structural relaxation, with properties calculated at the PBE-GGA level.

The calculation puts the raw total energy at -6.7397 eV/atom.

The structure belongs to space group F-43m (No. 216); the cell edges are 6.2195, 6.2195 and 6.2195 Å and the angles 90.00°, 90.00° and 90.00°. The inequivalent atoms are Ga at (0.0000, 0.0000, 0.0000), Ga at (0.2500, 0.2500, 0.2500), Tc at (0.0000, 0.0000, 0.5000) and Mo at (0.2500, 0.2500, 0.7500).

Entry 21:
Below is GaTc2Mo after structural relaxation, with properties calculated at the PBE-GGA level.

The calculation puts the raw total energy at -8.4901 eV/atom.

The structure belongs to space group P6_3/mmc (No. 194); the cell edges are 4.2799, 4.2799 and 8.0306 Å and the angles 90.00°, 90.00° and 120.00°. The inequivalent atoms are Ga at (0.0000, 0.0000, 0.0000), Tc at (0.3333, 0.6667, 0.0985) and Mo at (0.3333, 0.6667, 0.7500).

Entry 22:
Below is GaTcMo2 after structural relaxation, with properties calculated at the PBE-GGA level.

The calculation puts the raw total energy at -8.7441 eV/atom.

The structure belongs to space group F-43m (No. 216); the cell edges are 6.2405, 6.2405 and 6.2405 Å and the angles 90.00°, 90.00° and 90.00°. The inequivalent atoms are Ga at (0.0000, 0.0000, 0.0000), Tc at (0.2500, 0.2500, 0.2500), Mo at (0.0000, 0.0000, 0.5000) and Mo at (0.2500, 0.2500, 0.7500).

Entry 23:
Below is GaTcMo after structural relaxation, with properties calculated at the PBE-GGA level.

The calculation puts the raw total energy at -7.7624 eV/atom.

The structure belongs to space group F-43m (No. 216); the cell edges are 5.9640, 5.9640 and 5.9640 Å and the angles 90.00°, 90.00° and 90.00°. The inequivalent atoms are Ga at (0.0000, 0.0000, 0.0000), Tc at (0.2500, 0.2500, 0.7500) and Mo at (0.0000, 0.0000, 0.5000).

Entry 24:
Below is GaTc2Mo after structural relaxation, with properties calculated at the PBE-GGA level.

The calculation puts the raw total energy at -8.1758 eV/atom.

The structure belongs to space group P6_3/mmc (No. 194); the cell edges are 4.4036, 4.4036 and 7.4486 Å and the angles 90.00°, 90.00° and 120.00°. The inequivalent atoms are Ga at (0.3333, 0.6667, 0.2500), Tc at (0.3333, 0.6667, 0.5838) and Mo at (0.0000, 0.0000, 0.2500).

Entry 25:
Below is GaTc2Mo after structural relaxation, with properties calculated at the PBE-GGA level.

The calculation puts the raw total energy at -8.5127 eV/atom.

The structure belongs to space group Pnma (No. 62); the cell edges are 5.8694, 8.1248 and 5.0915 Å and the angles 90.00°, 90.00° and 90.00°. The inequivalent atoms are Ga at (0.1010, 0.2500, 0.1253), Tc at (0.1860, 0.5200, 0.8439) and Mo at (0.0109, 0.7500, 0.3660).

Entry 26:
Below is Ga2Tc2Mo after structural relaxation, with properties calculated at the PBE-GGA level.

The calculation puts the raw total energy at -6.8776 eV/atom.

The structure belongs to space group I4/mmm (No. 139); the cell edges are 4.5270, 4.5270 and 8.0841 Å and the angles 90.00°, 90.00° and 90.00°. The inequivalent atoms are Ga at (0.0000, 0.5000, 0.2500), Tc at (0.0000, 0.0000, 0.1372) and Mo at (0.0000, 0.0000, 0.5000).

Entry 27:
Below is GaTc2Mo after structural relaxation, with properties calculated at the PBE-GGA level.

The calculation puts the raw total energy at -8.4247 eV/atom.

The structure belongs to space group P6_3/mmc (No. 194); the cell edges are 4.3969, 4.3969 and 7.6697 Å and the angles 90.00°, 90.00° and 120.00°. The inequivalent atoms are Ga at (0.3333, 0.6667, 0.2500), Tc at (0.3333, 0.6667, 0.5938) and Mo at (0.0000, 0.0000, 0.0000).

Entry 28:
Below is GaTc2Mo after structural relaxation, with properties calculated at the PBE-GGA level.

The calculation puts the raw total energy at -8.7410 eV/atom.

The structure belongs to space group P4/mmm (No. 123); the cell edges are 3.1298, 3.1298 and 6.0620 Å and the angles 90.00°, 90.00° and 90.00°. The inequivalent atoms are Ga at (0.0000, 0.0000, 0.0000), Tc at (0.5000, 0.5000, 0.2488) and Mo at (0.0000, 0.0000, 0.5000).

Entry 29:
Below is GaTc2Mo after structural relaxation, with properties calculated at the PBE-GGA level.

The calculation puts the raw total energy at -8.5386 eV/atom.

The structure belongs to space group F-43m (No. 216); the cell edges are 6.2035, 6.2035 and 6.2035 Å and the angles 90.00°, 90.00° and 90.00°. The inequivalent atoms are Ga at (0.0000, 0.0000, 0.0000), Tc at (0.0000, 0.0000, 0.5000), Tc at (0.2500, 0.2500, 0.7500) and Mo at (0.2500, 0.2500, 0.2500).